# 1
The following is a DFT calculation (SCAN) of La2CuIr at its PBEsol-relaxed geometry.

Cell: 6.173 6.173 6.173 Å, 145.32 138.24 55.37°
Positions (direct):
La: 0.000 0.000 0.000
La: 0.713 0.213 0.500
Cu: 0.425 0.425 0.000
Ir: 0.260 0.760 0.500

Properties
- ΔH_f (0 K): -0.396 eV/atom

=====

# 2
The following is a DFT calculation (SCAN) of BePtCl2 at its PBEsol-relaxed geometry.

Cell: 6.002 6.002 6.002 Å, 126.15 126.15 79.65°
Positions (direct):
Be: 0.000 0.000 0.000
Be: 0.750 0.250 0.500
Pt: 0.250 0.750 0.500
Pt: 0.500 0.500 0.000
Cl: 0.054 0.125 0.429
Cl: 0.375 0.946 0.071
Cl: 0.696 0.625 0.571
Cl: 0.875 0.304 0.929

Properties
- Formation energy from raw total energies: -0.04 eV per atom
- Distance to the lowest polymorph of the same formula: 468 meV per atom

=====

Values of V, in order: 22.1, 17.0, all in Å³/atom.